[1]
NaCaC3: relaxed, GGA-PBE.

Unit cell a=4.6664 b=4.6664 c=4.6664 alpha=90.00 beta=90.00 gamma=90.00
Last column: nearest neighbours and their distance in Å.
Sites, in units of the cell vectors:
C: 0.0000 0.0000 0.5000  2 Ca 2.33
C: 0.0000 0.5000 0.0000  2 Ca 2.33
C: 0.5000 0.0000 0.0000  2 Ca 2.33
Na: 0.5000 0.5000 0.5000  12 C 3.30
Ca: 0.0000 0.0000 0.0000  6 C 2.33

Summary:
ΔE to the lowest computed polymorph, meV/atom: 149
Symmetry: No. 221

---

[2]
PmVRh: relaxed, GGA-PBE.

Unit cell a=4.6541 b=6.6418 c=6.6418 alpha=120.00 beta=90.00 gamma=90.00
Last column: nearest neighbours and their distance in Å.
Sites, in units of the cell vectors:
Rh: 0.5000 0.3333 0.6667  3 V 2.72
Rh: 0.0000 0.0000 0.0000  6 V 2.71, 3 Pm 2.83
V: 0.5000 0.2105 0.2105  2 V 2.42
Pm: 0.0000 0.4258 0.0000  5 Rh 2.83-3.06
Pm: 0.0000 0.0000 0.4258  5 Rh 2.83-3.06
Pm: 0.0000 0.5742 0.5742  5 Rh 2.83-3.06
V: 0.5000 0.0000 0.7895  2 V 2.42
V: 0.5000 0.7895 0.0000  2 V 2.42
Rh: 0.5000 0.6667 0.3333  3 V 2.72

Summary:
Symmetry: No. 189
Raw total energy, eV/cell: -65.71

---

| no. | Fermi-level density of states (states/eV per cell) |
| --- | --- |
| 1 | 3.24 |
| 2 | 9.98 |